No. 1
Computed, not measured: a relaxed structure of LiCdTc at the PBE level of DFT.

Output
**Energy above the lowest structure with this stoichiometry**: 625 meV/atom
**Fermi-level density of states**: 0.49 states/eV/atom
**DFT formation energy**: 893 meV per atom
**Final energy**: -42.065 eV for the cell shown

a b c (Å): 5.958 5.958 5.958
angles (deg): 90.00 90.00 90.00
Space group F-43m (No. 216)
One atom of each set of equivalent atoms:
Li1 0.000 0.000 0.000
Cd1 0.250 0.250 0.250
Tc1 0.250 0.250 0.750

***

No. 2
Computed, not measured: a relaxed structure of Li2CdTc at the PBE level of DFT.

Output
**Fermi-level density of states**: 1.08 states/eV/atom
**DFT formation energy**: 414 meV per atom
**Final energy**: -26.908 eV for the cell shown

a b c (Å): 3.931 3.931 8.466
angles (deg): 90.00 90.00 90.00
Space group I4/mmm (No. 139)
One atom of each set of equivalent atoms:
Li1 0.000 0.500 0.250
Cd1 0.000 0.000 0.000
Tc1 0.000 0.000 0.500

***

No. 3
Computed, not measured: a relaxed structure of LiCd2Tc at the PBE level of DFT.

Output
**Energy above the lowest structure with this stoichiometry**: 154 meV/atom
**Fermi-level density of states**: 0.87 states/eV/atom
**DFT formation energy**: 284 meV per atom
**Final energy**: -12.976 eV for the cell shown

a b c (Å): 2.746 4.504 5.730
angles (deg): 90.00 90.00 90.00
Space group Pmm2 (No. 25)
One atom of each set of equivalent atoms:
Li1 0.000 0.000 0.000
Cd1 0.000 0.000 0.461
Cd2 0.500 0.500 0.762
Tc1 0.500 0.500 0.248

***

No. 4
Computed, not measured: a relaxed structure of LiCd2Tc at the PBE level of DFT.

Output
**Energy above the lowest structure with this stoichiometry**: 9 meV/atom
**Fermi-level density of states**: 0.23 states/eV/atom
**DFT formation energy**: 138 meV per atom
**Final energy**: -13.557 eV for the cell shown

a b c (Å): 4.863 4.863 2.937
angles (deg): 90.00 90.00 90.00
Space group P4/mmm (No. 123)
One atom of each set of equivalent atoms:
Li1 0.000 0.000 0.000
Cd1 0.000 0.500 0.500
Tc1 0.500 0.500 0.000

***

Q: What is the DFT formation energy in the third record?
A: 284 meV per atom

***

Q: Look up the DFT formation energy of the third one.
A: 284 meV per atom